Record 1
# K2CuPt

An optimized crystal structure of K2CuPt (GGA-PBE, Alexandria).

Properties
ΔE to the lowest computed polymorph: 0.000 eV per formula unit

a b c (Å): 4.610 5.924 5.924
angles (deg): 51.54 90.00 90.00
Atoms (fractional coordinates):
K: 0.000 0.000 0.000
K: 0.500 0.300 0.300
Cu: 0.500 0.619 0.619
Pt: 0.000 0.684 0.684

***

Record 2
# Zn3BiRu

An optimized crystal structure of Zn3BiRu (GGA-PBE, Alexandria).

Properties
ΔE to the lowest computed polymorph: 0.000 eV per formula unit

a b c (Å): 4.802 4.802 4.802
angles (deg): 90.00 90.00 90.00
Atoms (fractional coordinates):
Zn: 0.000 0.000 0.500
Zn: 0.000 0.500 0.000
Zn: 0.500 0.000 0.000
Bi: 0.500 0.500 0.500
Ru: 0.000 0.000 0.000

***

Record 3
# Zr3GeSe

An optimized crystal structure of Zr3GeSe (GGA-PBE, Alexandria).

Properties
ΔE to the lowest computed polymorph: 0.000 eV per formula unit
formation energy without anion corrections: 0.054 eV per atom

a b c (Å): 4.963 4.963 4.963
angles (deg): 90.00 90.00 90.00
Atoms (fractional coordinates):
Zr: 0.000 0.000 0.500
Zr: 0.000 0.500 0.000
Zr: 0.500 0.000 0.000
Ge: 0.500 0.500 0.500
Se: 0.000 0.000 0.000

***

Record 4
# SrBr

An optimized crystal structure of SrBr (GGA-PBE, Alexandria).

Properties
formation energy without anion corrections: -1.311 eV per atom

a b c (Å): 4.550 4.550 4.550
angles (deg): 60.00 60.00 60.00
Atoms (fractional coordinates):
Sr: 0.000 0.000 0.000
Br: 0.500 0.500 0.500

***

Record 5
# Cd3In7

An optimized crystal structure of Cd3In7 (GGA-PBE, Alexandria).

a b c (Å): 8.796 8.796 6.712
angles (deg): 102.73 102.73 30.81
Atoms (fractional coordinates):
Cd: 0.000 0.000 0.000
Cd: 0.201 0.201 0.600
Cd: 0.799 0.799 0.400
In: 0.000 0.000 0.500
In: 0.202 0.202 0.104
In: 0.397 0.397 0.695
In: 0.401 0.401 0.198
In: 0.599 0.599 0.802
In: 0.603 0.603 0.305
In: 0.798 0.798 0.896

***

Record 6
# YTcBi3

An optimized crystal structure of YTcBi3 (GGA-PBE, Alexandria).

Properties
ΔE to the lowest computed polymorph: 0.000 eV per formula unit

a b c (Å): 5.360 5.360 5.360
angles (deg): 90.00 90.00 90.00
Atoms (fractional coordinates):
Y: 0.000 0.000 0.000
Tc: 0.500 0.500 0.500
Bi: 0.000 0.500 0.500
Bi: 0.500 0.000 0.500
Bi: 0.500 0.500 0.000

***

Record 7
# KSn2Ru

An optimized crystal structure of KSn2Ru (GGA-PBE, Alexandria).

a b c (Å): 3.273 3.273 8.912
angles (deg): 90.00 90.00 90.00
Atoms (fractional coordinates):
K: 0.000 0.000 0.000
Sn: 0.500 0.500 0.316
Sn: 0.500 0.500 0.684
Ru: 0.000 0.000 0.500

***

Record 8
# Ag3Te2S4

An optimized crystal structure of Ag3Te2S4 (GGA-PBE, Alexandria).

Properties
formation energy without anion corrections: 0.102 eV per atom

a b c (Å): 8.169 8.169 8.547
angles (deg): 91.17 91.17 107.31
Atoms (fractional coordinates):
Ag: 0.103 0.897 0.750
Ag: 0.349 0.513 0.091
Ag: 0.487 0.651 0.409
Ag: 0.513 0.349 0.591
Ag: 0.651 0.487 0.909
Ag: 0.897 0.103 0.250
Te: 0.033 0.268 0.540
Te: 0.268 0.033 0.040
Te: 0.732 0.967 0.960
Te: 0.967 0.732 0.460
S: 0.110 0.249 0.057
S: 0.231 0.555 0.557
S: 0.249 0.110 0.557
S: 0.445 0.769 0.943
S: 0.555 0.231 0.057
S: 0.751 0.890 0.443
S: 0.769 0.445 0.443
S: 0.890 0.751 0.943

***

Record 9
# NbCuOs

An optimized crystal structure of NbCuOs (GGA-PBE, Alexandria).

Properties
ΔE to the lowest computed polymorph: 0.130 eV per formula unit

a b c (Å): 4.413 4.413 2.682
angles (deg): 90.00 90.00 120.00
Atoms (fractional coordinates):
Nb: 0.000 0.000 0.000
Cu: 0.333 0.667 0.627
Os: 0.667 0.333 0.301

***

Record 10
# Ba2Mg5Ga2

An optimized crystal structure of Ba2Mg5Ga2 (GGA-PBE, Alexandria).

a b c (Å): 4.912 4.912 10.895
angles (deg): 90.00 90.00 90.00
Atoms (fractional coordinates):
Ba: 0.000 0.000 0.000
Ba: 0.000 0.000 0.500
Mg: 0.000 0.500 0.242
Mg: 0.000 0.500 0.758
Mg: 0.500 0.000 0.242
Mg: 0.500 0.000 0.758
Mg: 0.500 0.500 0.000
Ga: 0.500 0.500 0.380
Ga: 0.500 0.500 0.620

***

Record 11
# K5US5

An optimized crystal structure of K5US5 (GGA-PBE, Alexandria).

Properties
formation energy without anion corrections: -1.257 eV per atom

a b c (Å): 7.847 7.847 8.619
angles (deg): 107.34 107.34 44.14
Atoms (fractional coordinates):
K: 0.000 0.000 0.000
K: 0.305 0.305 0.187
K: 0.323 0.323 0.647
K: 0.677 0.677 0.353
K: 0.695 0.695 0.813
U: 0.000 0.000 0.500
S: 0.130 0.130 0.352
S: 0.138 0.138 0.786
S: 0.500 0.500 0.500
S: 0.862 0.862 0.214
S: 0.870 0.870 0.648

***

Record 12
# GaPOsO2

An optimized crystal structure of GaPOsO2 (GGA-PBE, Alexandria).

Properties
ΔE to the lowest computed polymorph: 0.000 eV per formula unit
formation energy without anion corrections: -0.432 eV per atom

a b c (Å): 3.769 3.769 5.257
angles (deg): 90.00 90.00 90.00
Atoms (fractional coordinates):
Ga: 0.000 0.000 0.000
P: 0.500 0.500 0.000
Os: 0.500 0.500 0.500
O: 0.000 0.500 0.500
O: 0.500 0.000 0.500

***

Record 13
# Ag2C

An optimized crystal structure of Ag2C (GGA-PBE, Alexandria).

Properties
ΔE to the lowest computed polymorph: 2.733 eV per formula unit

a b c (Å): 4.001 4.001 4.001
angles (deg): 60.00 60.00 60.00
Atoms (fractional coordinates):
Ag: 0.250 0.250 0.250
Ag: 0.750 0.750 0.750
C: 0.000 0.000 0.000

***

Record 14
# LiMg2Pd

An optimized crystal structure of LiMg2Pd (GGA-PBE, Alexandria).

Properties
ΔE to the lowest computed polymorph: 0.247 eV per formula unit

a b c (Å): 3.248 3.248 6.825
angles (deg): 90.00 90.00 90.00
Atoms (fractional coordinates):
Li: 0.000 0.000 0.000
Mg: 0.500 0.500 0.277
Mg: 0.500 0.500 0.723
Pd: 0.000 0.000 0.500

***

Record 15
# NdGdTc4

An optimized crystal structure of NdGdTc4 (GGA-PBE, Alexandria).

a b c (Å): 5.461 5.461 5.461
angles (deg): 60.00 60.00 60.00
Atoms (fractional coordinates):
Nd: 0.000 0.000 0.000
Gd: 0.750 0.750 0.750
Tc: 0.375 0.375 0.375
Tc: 0.375 0.375 0.875
Tc: 0.375 0.875 0.375
Tc: 0.875 0.375 0.375

***

Record 16
# Fe2HPd

An optimized crystal structure of Fe2HPd (GGA-PBE, Alexandria).

Properties
ΔE to the lowest computed polymorph: 3.861 eV per formula unit

a b c (Å): 3.957 3.957 3.957
angles (deg): 60.00 60.00 60.00
Atoms (fractional coordinates):
Fe: 0.250 0.250 0.250
Fe: 0.750 0.750 0.750
H: 0.000 0.000 0.000
Pd: 0.500 0.500 0.500

***

Record 17
# BiPt2F

An optimized crystal structure of BiPt2F (GGA-PBE, Alexandria).

Properties
ΔE to the lowest computed polymorph: 0.168 eV per formula unit
formation energy without anion corrections: -0.216 eV per atom

a b c (Å): 4.596 4.596 4.596
angles (deg): 60.00 60.00 60.00
Atoms (fractional coordinates):
Bi: 0.000 0.000 0.000
Pt: 0.250 0.250 0.250
Pt: 0.750 0.750 0.750
F: 0.500 0.500 0.500

***

Record 18
# ZrMnHg2

An optimized crystal structure of ZrMnHg2 (GGA-PBE, Alexandria).

a b c (Å): 5.111 5.111 5.379
angles (deg): 101.97 101.97 36.97
Atoms (fractional coordinates):
Zr: 0.000 0.000 0.000
Mn: 0.500 0.500 0.500
Hg: 0.241 0.241 0.737
Hg: 0.759 0.759 0.263

***

Record 19
# GeTe3As

An optimized crystal structure of GeTe3As (GGA-PBE, Alexandria).

Properties
ΔE to the lowest computed polymorph: 2.853 eV per formula unit
formation energy without anion corrections: 0.570 eV per atom

a b c (Å): 5.413 5.413 5.413
angles (deg): 90.00 90.00 90.00
Atoms (fractional coordinates):
Ge: 0.000 0.000 0.000
Te: 0.000 0.500 0.500
Te: 0.500 0.000 0.500
Te: 0.500 0.500 0.000
As: 0.500 0.500 0.500

***

Record 20
# Sm2Mg5Sc

An optimized crystal structure of Sm2Mg5Sc (GGA-PBE, Alexandria).

a b c (Å): 8.649 8.649 8.649
angles (deg): 145.59 145.59 49.45
Atoms (fractional coordinates):
Sm: 0.243 0.243 0.000
Sm: 0.757 0.757 0.000
Mg: 0.000 0.000 0.000
Mg: 0.111 0.611 0.500
Mg: 0.389 0.889 0.500
Mg: 0.611 0.111 0.500
Mg: 0.889 0.389 0.500
Sc: 0.500 0.500 0.000

***

Record 21
# PuCd3Au4

An optimized crystal structure of PuCd3Au4 (GGA-PBE, Alexandria).

a b c (Å): 6.056 6.056 6.056
angles (deg): 109.47 109.47 109.47
Atoms (fractional coordinates):
Pu: 0.000 0.000 0.000
Cd: 0.000 0.500 0.500
Cd: 0.500 0.000 0.500
Cd: 0.500 0.500 0.000
Au: 0.000 0.000 0.500
Au: 0.000 0.500 0.000
Au: 0.500 0.000 0.000
Au: 0.500 0.500 0.500

***

Record 22
# CoTcAu2

An optimized crystal structure of CoTcAu2 (GGA-PBE, Alexandria).

Properties
ΔE to the lowest computed polymorph: 1.030 eV per formula unit

a b c (Å): 2.714 4.061 5.621
angles (deg): 90.00 90.15 90.00
Atoms (fractional coordinates):
Co: 0.000 0.000 0.000
Tc: 0.000 0.000 0.500
Au: 0.499 0.500 0.247
Au: 0.501 0.500 0.753

***

Record 23
# PmNd2Ga6

An optimized crystal structure of PmNd2Ga6 (GGA-PBE, Alexandria).

Properties
ΔE to the lowest computed polymorph: 0.000 eV per formula unit

a b c (Å): 7.397 7.397 4.296
angles (deg): 90.00 90.00 120.00
Atoms (fractional coordinates):
Pm: 0.000 0.000 0.000
Nd: 0.333 0.667 0.000
Nd: 0.667 0.333 0.000
Ga: 0.000 0.333 0.500
Ga: 0.000 0.667 0.500
Ga: 0.333 0.000 0.500
Ga: 0.333 0.333 0.500
Ga: 0.667 0.000 0.500
Ga: 0.667 0.667 0.500

***

Record 24
# SrCa2LaAs

An optimized crystal structure of SrCa2LaAs (GGA-PBE, Alexandria).

a b c (Å): 5.834 5.834 5.972
angles (deg): 90.00 90.00 90.00
Atoms (fractional coordinates):
Sr: 0.000 0.000 0.000
Ca: 0.000 0.500 0.500
Ca: 0.500 0.000 0.500
La: 0.500 0.500 0.000
As: 0.500 0.500 0.500

***

Record 25
# K4Ce3BiSe8

An optimized crystal structure of K4Ce3BiSe8 (GGA-PBE, Alexandria).

Properties
formation energy without anion corrections: -1.466 eV per atom

a b c (Å): 9.186 9.186 9.186
angles (deg): 56.87 56.87 56.87
Atoms (fractional coordinates):
K: 0.000 0.000 0.000
K: 0.000 0.500 0.500
K: 0.500 0.000 0.500
K: 0.500 0.500 0.000
Ce: 0.000 0.000 0.500
Ce: 0.000 0.500 0.000
Ce: 0.500 0.000 0.000
Bi: 0.500 0.500 0.500
Se: 0.236 0.236 0.236
Se: 0.237 0.737 0.737
Se: 0.263 0.263 0.763
Se: 0.263 0.763 0.263
Se: 0.737 0.237 0.737
Se: 0.737 0.737 0.237
Se: 0.763 0.263 0.263
Se: 0.764 0.764 0.764

***

Record 26
# Hf3AlH3

An optimized crystal structure of Hf3AlH3 (GGA-PBE, Alexandria).

Properties
ΔE to the lowest computed polymorph: 0.000 eV per formula unit

a b c (Å): 5.659 5.659 5.659
angles (deg): 90.00 90.00 90.00
Atoms (fractional coordinates):
Hf: 0.000 0.250 0.500
Hf: 0.000 0.750 0.500
Hf: 0.250 0.500 0.000
Hf: 0.500 0.000 0.250
Hf: 0.500 0.000 0.750
Hf: 0.750 0.500 0.000
Al: 0.000 0.000 0.000
Al: 0.500 0.500 0.500
H: 0.000 0.500 0.250
H: 0.000 0.500 0.750
H: 0.250 0.000 0.500
H: 0.500 0.250 0.000
H: 0.500 0.750 0.000
H: 0.750 0.000 0.500

***

Number 1: V 126.7 Å³/cell, E_tot -3.012 eV per atom. Number 2: V 110.7 Å³/cell, E_tot -2.903 eV per atom. Number 3: V 122.2 Å³/cell, E_tot -6.695 eV per atom. Number 4: V 66.6 Å³/cell, E_tot -2.988 eV per atom. Number 5: V 259.0 Å³/cell, E_tot -2.167 eV per atom. Number 6: V 154.0 Å³/cell, E_tot -5.288 eV per atom. Number 7: V 95.5 Å³/cell, E_tot -4.718 eV per atom. Number 8: V 544.2 Å³/cell, E_tot -3.381 eV per atom. Number 9: V 45.2 Å³/cell, E_tot -8.426 eV per atom. Number 10: V 262.8 Å³/cell, E_tot -2.089 eV per atom. Number 11: V 350.0 Å³/cell, E_tot -4.658 eV per atom. Number 12: V 74.7 Å³/cell, E_tot -6.348 eV per atom. Number 13: V 45.3 Å³/cell, E_tot -3.438 eV per atom. Number 14: V 72.0 Å³/cell, E_tot -2.984 eV per atom. Number 15: V 115.2 Å³/cell, E_tot -10.060 eV per atom. Number 16: V 43.8 Å³/cell, E_tot -5.384 eV per atom. Number 17: V 68.7 Å³/cell, E_tot -4.674 eV per atom. Number 18: V 82.5 Å³/cell, E_tot -4.430 eV per atom. Number 19: V 158.6 Å³/cell, E_tot -3.169 eV per atom. Number 20: V 205.7 Å³/cell, E_tot -3.022 eV per atom. Number 21: V 171.0 Å³/cell, E_tot -3.929 eV per atom. Number 22: V 62.0 Å³/cell, E_tot -5.590 eV per atom. Number 23: V 203.6 Å³/cell, E_tot -4.292 eV per atom. Number 24: V 203.2 Å³/cell, E_tot -3.476 eV per atom. Number 25: V 508.5 Å³/cell, E_tot -4.838 eV per atom. Number 26: V 181.2 Å³/cell, E_tot -6.586 eV per atom.